No. 1
The following is a DFT calculation (GGA-PBE) of a geometry-optimized KH3Au structure.

```
KH3Au
1.0
4.3968 0.0000 0.0000
0.0000 4.3968 0.0000
0.0000 0.0000 4.3968
H K Au
3 1 1
Direct
0.0000 0.5000 0.0000
0.0000 0.0000 0.5000
0.5000 0.0000 0.0000
0.0000 0.0000 0.0000
0.5000 0.5000 0.5000
```

Output
M_tot = 1.16 μB/cell
relative energy among the computed polymorphs = 1446 meV/atom
total DFT energy (no corrections) = -1.6138 eV per atom
mass density = 4.7 Mg/m³
calculated volume = 85 Å³ per cell

No. 2
The following is a DFT calculation (GGA-PBE) of a geometry-optimized La7Pm6Pr16 structure.

```
La7Pm6Pr16
1.0
3.4347 -10.3295 3.5202
10.3028 -3.9430 -3.0319
8.3039 -0.9105 7.8169
La Pm Pr
7 6 16
Direct
0.0000 0.0000 0.0000
0.5000 0.0000 0.5000
0.0000 0.5000 0.0000
0.0000 0.5000 0.5000
0.5000 0.0000 0.0000
0.0000 0.0000 0.5000
0.5000 0.5000 0.0000
0.2915 0.7085 0.2915
0.7085 0.2915 0.7085
0.7085 0.2915 0.2915
0.2915 0.7085 0.7085
0.7085 0.7085 0.2915
0.2915 0.2915 0.7085
0.8773 0.8773 0.3681
0.8773 0.8773 0.8773
0.8773 0.3681 0.8773
0.3681 0.8773 0.8773
0.1227 0.1227 0.1227
0.1227 0.1227 0.6319
0.1227 0.6319 0.1227
0.6319 0.1227 0.1227
0.6555 0.6555 0.0334
0.6555 0.6555 0.6555
0.6555 0.0334 0.6555
0.0334 0.6555 0.6555
0.3445 0.3445 0.3445
0.3445 0.3445 0.9666
0.3445 0.9666 0.3445
0.9666 0.3445 0.3445
```

Output
ΔE_f = 215 meV per atom
M_tot = 0.02 μB/cell
total DFT energy (no corrections) = -4.5942 eV per atom
mass density = 6.4 Mg/m³
calculated volume = 1059 Å³ per cell

No. 3
The following is a DFT calculation (GGA-PBE) of a geometry-optimized Sm12Tl6Os structure.

```
Sm12Tl6Os
1.0
-7.6729 2.0327 -3.0408
2.8859 -2.7774 -7.4973
-2.4236 -7.7233 2.5940
Sm Tl Os
12 6 1
Direct
0.7978 0.5731 0.4535
0.4535 0.7978 0.5731
0.5731 0.4535 0.7978
0.2022 0.4269 0.5465
0.5465 0.2022 0.4269
0.4269 0.5465 0.2022
0.9733 0.0870 0.3146
0.9130 0.6854 0.0267
0.6854 0.0267 0.9130
0.0267 0.9130 0.6854
0.0870 0.3146 0.9733
0.3146 0.9733 0.0870
0.6535 0.8635 0.2719
0.7281 0.3465 0.1365
0.1365 0.7281 0.3465
0.3465 0.1365 0.7281
0.2719 0.6535 0.8635
0.8635 0.2719 0.6535
0.0000 0.0000 0.0000
```

Output
ΔE_f = -149 meV per atom
M_tot = 0.00 μB/cell
total DFT energy (no corrections) = -4.4680 eV per atom
mass density = 8.8 Mg/m³
calculated volume = 610 Å³ per cell

No. 4
The following is a DFT calculation (GGA-PBE) of a geometry-optimized Nd3Sm6Ho2Th structure.

```
Nd3Sm6Ho2Th
1.0
-1.3128 -0.0304 6.1228
5.9597 -0.1425 -1.9168
-1.2209 11.9155 -1.2705
Nd Sm Ho Th
3 6 2 1
Direct
0.1669 0.8331 0.5000
0.8331 0.1669 0.5000
0.5000 0.5000 0.5000
0.9177 0.5876 0.7545
0.7524 0.7524 0.2457
0.0823 0.4124 0.2455
0.5876 0.9177 0.7545
0.2476 0.2476 0.7543
0.4124 0.0823 0.2455
0.3334 0.6666 0.0000
0.6666 0.3334 0.0000
0.0000 0.0000 0.0000
```

Output
ΔE_f = 26 meV per atom
M_tot = 0.00 μB/cell
total DFT energy (no corrections) = -4.9070 eV per atom
mass density = 7.8 Mg/m³
calculated volume = 403 Å³ per cell

No. 5
The following is a DFT calculation (GGA-PBE) of a geometry-optimized Tm12NbC7 structure.

```
Tm12NbC7
1.0
7.5071 -0.1443 -2.2733
-3.0246 6.8724 -2.2733
-0.0962 -0.1443 7.8432
Tm Nb C
12 1 7
Direct
0.9305 0.3096 0.7861
0.6904 0.2139 0.0695
0.4417 0.1560 0.3713
0.8440 0.6287 0.5583
0.2139 0.0695 0.6904
0.6287 0.5583 0.8440
0.3713 0.4417 0.1560
0.7861 0.9305 0.3096
0.1560 0.3713 0.4417
0.5583 0.8440 0.6287
0.3096 0.7861 0.9305
0.0695 0.6904 0.2139
0.0000 0.0000 0.0000
0.9670 0.6668 0.8907
0.3332 0.1093 0.0330
0.1093 0.0330 0.3332
0.5000 0.5000 0.5000
0.8907 0.9670 0.6668
0.6668 0.8907 0.9670
0.0330 0.3332 0.1093
```

Output
ΔE_f = -332 meV per atom
M_tot = 0.00 μB/cell
total DFT energy (no corrections) = -6.7469 eV per atom
mass density = 9.2 Mg/m³
calculated volume = 396 Å³ per cell

No. 6
The following is a DFT calculation (GGA-PBE) of a geometry-optimized Ti2GeS structure.

```
Ti2GeS
1.0
-0.6863 -5.5744 -0.1300
0.5040 0.0685 -5.5949
5.4792 -3.4503 -2.3692
Ge S Ti
2 2 4
Direct
0.0000 0.0000 0.0000
0.7500 0.2500 0.5000
0.5000 0.5000 0.0000
0.2500 0.7500 0.5000
0.6073 0.1250 0.2500
0.1427 0.6250 0.2500
0.3750 0.3927 0.7500
0.8750 0.8573 0.7500
```

Output
M_tot = 0.00 μB/cell
relative energy among the computed polymorphs = 559 meV/atom
total DFT energy (no corrections) = -6.4514 eV per atom
mass density = 3.7 Mg/m³
calculated volume = 178 Å³ per cell
uncorrected formation energy = -0.318 eV/atom

No. 7
The following is a DFT calculation (GGA-PBE) of a geometry-optimized Mg6AlSb structure.

```
Mg6AlSb
1.0
0.2696 3.0956 -5.4112
-5.4982 -1.2936 2.6519
0.1920 4.6105 2.6471
Mg Al Sb
6 1 1
Direct
0.1662 0.3356 0.0000
0.6644 0.8338 0.0000
0.6664 0.3336 0.0000
0.3337 0.1599 0.5000
0.8401 0.6663 0.5000
0.8333 0.1667 0.5000
0.1611 0.8389 0.0000
0.3349 0.6651 0.5000
```

Output
M_tot = 0.00 μB/cell
total DFT energy (no corrections) = -2.2105 eV per atom
mass density = 2.7 Mg/m³
calculated volume = 178 Å³ per cell
uncorrected formation energy = -0.031 eV/atom

No. 8
The following is a DFT calculation (GGA-PBE) of a geometry-optimized U2BeAl2B4 structure.

```
U2BeAl2B4
1.0
5.3577 -0.1736 -0.2740
-2.3111 4.8367 0.2740
-2.3111 -1.8168 4.4909
U Be Al B
2 1 2 4
Direct
0.5000 0.7500 0.2500
0.5000 0.2500 0.7500
0.0000 0.0000 0.0000
0.0000 0.6782 0.6782
0.0000 0.3218 0.3218
0.0000 0.7323 0.2677
0.4645 0.7323 0.7323
0.0000 0.2677 0.7323
0.5355 0.2677 0.2677
```

Output
ΔE_f = 217 meV per atom
M_tot = 0.00 μB/cell
total DFT energy (no corrections) = -6.5047 eV per atom
mass density = 8.5 Mg/m³
calculated volume = 113 Å³ per cell

No. 9
The following is a DFT calculation (GGA-PBE) of a geometry-optimized LaTbAlAg structure.

```
LaTbAlAg
1.0
3.6480 0.0000 0.0000
0.0000 3.6480 0.0000
0.0000 0.0000 7.7692
La Tb Al Ag
1 1 1 1
Direct
0.0000 0.0000 0.8666
0.0000 0.0000 0.3590
0.5000 0.5000 0.1262
0.5000 0.5000 0.5761
```

Output
ΔE_f = -342 meV per atom
M_tot = 0.00 μB/cell
relative energy among the computed polymorphs = 0 meV/atom
total DFT energy (no corrections) = -4.3799 eV per atom
mass density = 6.9 Mg/m³
calculated volume = 103 Å³ per cell

No. 10
The following is a DFT calculation (GGA-PBE) of a geometry-optimized BaTe2Ru structure.

```
BaTe2Ru
1.0
-1.6567 -0.3662 -4.0140
2.6496 -0.6213 -3.4035
-0.1921 -7.1478 -1.6328
Ba Ru Te
1 1 2
Direct
0.7500 0.7500 0.7500
0.2500 0.2500 0.2500
0.9724 0.9724 0.0826
0.5276 0.5276 0.4174
```

Output
M_tot = 0.00 μB/cell
relative energy among the computed polymorphs = 0 meV/atom
total DFT energy (no corrections) = -5.0418 eV per atom
mass density = 7.2 Mg/m³
calculated volume = 113 Å³ per cell
uncorrected formation energy = -0.671 eV/atom

No. 11
The following is a DFT calculation (GGA-PBE) of a geometry-optimized ZrPb2W structure.

```
ZrPb2W
1.0
-3.4798 0.6890 -0.0700
-0.2383 -0.8547 3.4353
1.4241 7.3895 1.9372
Pb W Zr
2 1 1
Direct
0.0000 0.0000 0.9559
0.5000 0.5000 0.3032
0.0000 0.0000 0.5334
0.5000 0.5000 0.7075
```

Output
ΔE_f = 361 meV per atom
M_tot = 0.00 μB/cell
relative energy among the computed polymorphs = 13 meV/atom
total DFT energy (no corrections) = -6.8689 eV per atom
mass density = 11.7 Mg/m³
calculated volume = 98 Å³ per cell

No. 12
The following is a DFT calculation (GGA-PBE) of a geometry-optimized CsInAgSb structure.

```
CsInAgSb
1.0
4.8590 0.0000 0.0000
0.0000 4.8590 0.0000
0.0000 0.0000 13.6266
Cs In Ag Sb
2 2 2 2
Direct
0.7500 0.7500 0.2825
0.2500 0.2500 0.7175
0.7500 0.2500 0.0000
0.2500 0.7500 0.0000
0.2500 0.7500 0.5000
0.7500 0.2500 0.5000
0.7500 0.7500 0.8735
0.2500 0.2500 0.1265
```

Output
M_tot = 0.00 μB/cell
total DFT energy (no corrections) = -2.6742 eV per atom
mass density = 4.9 Mg/m³
calculated volume = 322 Å³ per cell
uncorrected formation energy = -0.033 eV/atom

No. 13
The following is a DFT calculation (GGA-PBE) of a geometry-optimized Pm2HPd6Pt structure.

```
Pm2HPd6Pt
1.0
-4.5390 -0.6144 3.2764
3.8815 -3.9513 4.6130
1.4736 0.5101 7.0851
Pm H Pd Pt
2 1 6 1
Direct
0.7898 0.2122 0.4374
0.2102 0.7878 0.5626
0.0000 0.0000 0.0000
0.2374 0.2659 0.5525
0.7390 0.7655 0.0503
0.2323 0.7709 0.0671
0.7677 0.2291 0.9329
0.2610 0.2345 0.9497
0.7626 0.7341 0.4475
0.5000 0.5000 0.0000
```

Output
M_tot = 0.00 μB/cell
total DFT energy (no corrections) = -5.6209 eV per atom
mass density = 10.6 Mg/m³
calculated volume = 176 Å³ per cell

No. 14
The following is a DFT calculation (GGA-PBE) of a geometry-optimized Tl2AsCl structure.

```
Tl2AsCl
1.0
-3.2389 -6.4130 1.0694
2.8096 -6.6975 0.1095
-0.3634 6.8437 2.4071
Tl As Cl
2 1 1
Direct
0.0080 0.0080 0.0000
0.7497 0.2497 0.5000
0.5268 0.5268 0.0000
0.2154 0.7154 0.5000
```

Output
M_tot = 0.00 μB/cell
relative energy among the computed polymorphs = 186 meV/atom
total DFT energy (no corrections) = -2.9547 eV per atom
mass density = 7.4 Mg/m³
calculated volume = 116 Å³ per cell
uncorrected formation energy = -0.148 eV/atom